1.
The following is a PBE calculation of LaTlHRhBr after structural relaxation, from Alexandria.

The structure in extended XYZ format:
```
5
Lattice="3.7947 0.0000 0.0000 0.0000 4.0583 0.0000 1.4054 0.0198 8.0812" Properties=species:S:1:pos:R:3 pbc="T T T"
La 0.0000 0.0000 0.0000
Tl 3.6269 2.0490 5.4499
H 3.8220 2.0490 7.9266
Rh 1.7342 0.0199 5.6531
Br 1.8701 4.0583 2.3122
```

Results
VASP energy, eV per atom: -4.505
Size of the total moment, Bohr magnetons per cell: 0.0
SG: P1

***

2.
The following is a PBE calculation of LaTlHRhBr after structural relaxation, from Alexandria.

The structure in extended XYZ format:
```
10
Lattice="3.7771 0.0000 0.0000 0.0000 3.6880 0.0000 0.0000 0.0000 17.0098" Properties=species:S:1:pos:R:3 pbc="T T T"
La 0.0000 0.0000 0.0000
La 0.0000 1.8440 8.5049
Tl 0.0000 0.0000 12.1226
Tl 0.0000 1.8440 3.6177
H 1.8886 0.0000 1.5725
H 1.8886 1.8440 10.0774
Rh 1.8886 0.0000 10.0345
Rh 1.8886 1.8440 1.5296
Br 1.8886 0.0000 6.5111
Br 1.8886 1.8440 15.0161
```

Results
VASP energy, eV per atom: -4.612
Size of the total moment, Bohr magnetons per cell: 0.0
SG: Amm2

***

3.
The following is a PBE calculation of LaTlHRhBr after structural relaxation, from Alexandria.

The structure in extended XYZ format:
```
5
Lattice="4.3455 0.0000 0.0000 1.9627 3.8799 0.0000 1.2024 0.6129 7.9409" Properties=species:S:1:pos:R:3 pbc="T T T"
La 0.0000 0.0000 0.0000
Tl 3.8874 2.3923 2.8394
H 2.4606 1.5148 0.2816
Rh 1.6211 0.9971 1.6153
Br 5.3510 3.1642 6.0559
```

Results
VASP energy, eV per atom: -4.669
Size of the total moment, Bohr magnetons per cell: 0.0
SG: P1

***

4.
The following is a PBE calculation of LaTlHRhBr after structural relaxation, from Alexandria.

The structure in extended XYZ format:
```
5
Lattice="3.9976 0.0000 0.0000 -0.0105 4.0730 0.0000 -0.0029 -0.9732 8.0141" Properties=species:S:1:pos:R:3 pbc="T T T"
La 0.0000 0.0000 0.0000
Tl 3.9760 1.9546 3.0569
H 1.9789 2.8672 1.7136
Rh 1.9912 2.1171 0.2481
Br 1.9971 0.2016 5.8467
```

Results
VASP energy, eV per atom: -4.524
Size of the total moment, Bohr magnetons per cell: 0.0
SG: P1

***

5.
The following is a PBE calculation of La8HRu3Br4 after structural relaxation, from Alexandria.

The structure in extended XYZ format:
```
16
Lattice="7.0954 -4.0881 0.0000 7.0954 4.0881 0.0000 -4.7376 0.0000 7.9741" Properties=species:S:1:pos:R:3 pbc="T T T"
La 3.5306 2.0654 5.5327
La -0.0051 0.0000 5.6011
La 2.3368 0.0000 2.4395
La 5.9227 2.0654 2.4413
La 3.5306 -2.0654 5.5327
La 7.1164 0.0000 5.5346
La 9.4584 0.0000 2.3730
La 5.9227 -2.0654 2.4413
H 4.7266 0.0000 3.9870
Ru -2.3688 0.0000 3.9870
Ru 1.1789 2.0440 3.9870
Ru 1.1789 -2.0440 3.9870
Br 0.0000 0.0000 0.0000
Br 3.5477 2.0440 0.0000
Br 3.5477 -2.0440 0.0000
Br 7.0954 0.0000 0.0000
```

Results
VASP energy, eV per atom: -5.758
Size of the total moment, Bohr magnetons per cell: 0.0
SG: C2/m

***

6.
The following is a PBE calculation of La8HRu3Br3 after structural relaxation, from Alexandria.

The structure in extended XYZ format:
```
15
Lattice="7.1311 -4.1078 0.0000 7.1311 4.1078 0.0000 -4.7632 0.0000 7.8609" Properties=species:S:1:pos:R:3 pbc="T T T"
La 3.5467 2.0761 5.4586
La -0.0064 0.0000 5.5269
La 2.3436 0.0000 2.4000
La 5.9523 2.0761 2.4022
La 3.5467 -2.0761 5.4586
La 7.1554 0.0000 5.4609
La 9.5054 0.0000 2.3339
La 5.9523 -2.0761 2.4022
H 4.7495 0.0000 3.9304
Ru -2.3816 0.0000 3.9304
Ru 1.1840 2.0539 3.9304
Ru 1.1840 -2.0539 3.9304
Br 3.5655 2.0539 0.0000
Br 3.5655 -2.0539 0.0000
Br 7.1311 0.0000 0.0000
```

Results
VASP energy, eV per atom: -5.790
Size of the total moment, Bohr magnetons per cell: 1.0
SG: C2/m

***

7.
The following is a PBE calculation of LaHRuBr2 after structural relaxation, from Alexandria.

The structure in extended XYZ format:
```
5
Lattice="5.8534 0.0000 0.0000 0.0000 5.8534 0.0000 0.0000 0.0000 4.2892" Properties=species:S:1:pos:R:3 pbc="T T T"
La 0.0000 0.0000 0.0000
H 0.0000 0.0000 2.1446
Ru 2.9267 2.9267 2.1446
Br 0.0000 2.9267 0.0000
Br 2.9267 0.0000 0.0000
```

Results
VASP energy, eV per atom: -4.033
Size of the total moment, Bohr magnetons per cell: 2.8
SG: P4/mmm

***

8.
The following is a PBE calculation of La2H2SBr after structural relaxation, from Alexandria.

The structure in extended XYZ format:
```
6
Lattice="4.0517 0.0000 0.0000 -2.0259 3.5089 0.0000 0.0000 0.0000 8.3499" Properties=species:S:1:pos:R:3 pbc="T T T"
La 0.0000 2.3393 1.7799
La 2.0259 1.1696 6.5700
H 0.0000 2.3393 6.2797
H 2.0259 1.1696 2.0703
S 0.0000 0.0000 0.0000
Br 0.0000 0.0000 4.1750
```

Results
VASP energy, eV per atom: -5.123
Size of the total moment, Bohr magnetons per cell: 0.0
SG: P-3m1

***

Q: Look up the size of the total moment of the first one.
A: 0.0 Bohr magnetons per cell

***

Q: The lowest VASP energy belongs to which entry?
A: La8HRu3Br3